Record 1
# GGA-PBE Ho3Tm4Pd4, optimized geometry
data_Ho3Tm4Pd4
_cell_length_a 9.374
_cell_length_b 9.374
_cell_length_c 9.374
_cell_angle_alpha 156.90
_cell_angle_beta 122.99
_cell_angle_gamma 62.34
_symmetry_space_group_name_H-M 'P 1'
_symmetry_Int_Tables_number 1
loop_
_symmetry_equiv_pos_as_xyz
'x,y,z'
loop_
_atom_site_label
_atom_site_type_symbol
_atom_site_fract_x
_atom_site_fract_y
_atom_site_fract_z
Ho1 Ho 0.000 0.000 0.000
Ho2 Ho 0.397 0.897 0.500
Ho3 Ho 0.603 0.103 0.500
Tm1 Tm 0.022 0.336 0.686
Tm2 Tm 0.350 0.664 0.686
Tm3 Tm 0.650 0.336 0.314
Tm4 Tm 0.978 0.664 0.314
Pd1 Pd 0.251 0.251 0.000
Pd2 Pd 0.307 0.500 0.807
Pd3 Pd 0.693 0.500 0.193
Pd4 Pd 0.749 0.749 0.000
# **Calculated volume**: 269.4 Å³ per cell
# **Total magnetic moment**: 0.00 μB per formula unit
# **Formation enthalpy at 0 K**: -0.622 eV per atom

***

Record 2
# GGA-PBE HfH2Ir, optimized geometry
data_HfH2Ir
_cell_length_a 5.599
_cell_length_b 5.599
_cell_length_c 5.599
_cell_angle_alpha 135.92
_cell_angle_beta 135.92
_cell_angle_gamma 64.10
_symmetry_space_group_name_H-M 'P 1'
_symmetry_Int_Tables_number 1
loop_
_symmetry_equiv_pos_as_xyz
'x,y,z'
loop_
_atom_site_label
_atom_site_type_symbol
_atom_site_fract_x
_atom_site_fract_y
_atom_site_fract_z
Hf1 Hf 0.000 0.000 0.000
Hf2 Hf 0.750 0.250 0.500
H1 H 0.179 0.625 0.054
H2 H 0.375 0.429 0.554
H3 H 0.571 0.125 0.946
H4 H 0.875 0.821 0.446
Ir1 Ir 0.250 0.750 0.500
Ir2 Ir 0.500 0.500 0.000
# **ΔE to the lowest computed polymorph**: 0 meV per atom
# **Calculated volume**: 83.8 Å³ per cell
# **Total magnetic moment**: 0.00 μB per formula unit

***

Record 3
# GGA-PBE Mg2PBr, optimized geometry
data_Mg2PBr
_cell_length_a 4.856
_cell_length_b 4.856
_cell_length_c 4.856
_cell_angle_alpha 60.00
_cell_angle_beta 60.00
_cell_angle_gamma 60.00
_symmetry_space_group_name_H-M 'P 1'
_symmetry_Int_Tables_number 1
loop_
_symmetry_equiv_pos_as_xyz
'x,y,z'
loop_
_atom_site_label
_atom_site_type_symbol
_atom_site_fract_x
_atom_site_fract_y
_atom_site_fract_z
Mg1 Mg 0.250 0.250 0.250
Mg2 Mg 0.750 0.750 0.750
P1 P 0.000 0.000 0.000
Br1 Br 0.500 0.500 0.500
# **ΔE to the lowest computed polymorph**: 538 meV per atom
# **Calculated volume**: 81.0 Å³ per cell
# **Total magnetic moment**: 0.00 μB per formula unit

***

Record 4
# GGA-PBE Ta2WBr, optimized geometry
data_Ta2WBr
_cell_length_a 5.645
_cell_length_b 5.645
_cell_length_c 5.645
_cell_angle_alpha 146.92
_cell_angle_beta 132.34
_cell_angle_gamma 59.24
_symmetry_space_group_name_H-M 'P 1'
_symmetry_Int_Tables_number 1
loop_
_symmetry_equiv_pos_as_xyz
'x,y,z'
loop_
_atom_site_label
_atom_site_type_symbol
_atom_site_fract_x
_atom_site_fract_y
_atom_site_fract_z
Ta1 Ta 0.000 0.000 0.000
Ta2 Ta 0.739 0.239 0.500
W1 W 0.232 0.732 0.500
Br1 Br 0.454 0.454 0.000
# **ΔE to the lowest computed polymorph**: 522 meV per atom
# **Calculated volume**: 72.0 Å³ per cell
# **Total magnetic moment**: 0.00 μB per formula unit

***

Record 5
# GGA-PBE BaSb2Au, optimized geometry
data_BaSb2Au
_cell_length_a 11.012
_cell_length_b 11.012
_cell_length_c 11.012
_cell_angle_alpha 153.27
_cell_angle_beta 124.73
_cell_angle_gamma 62.43
_symmetry_space_group_name_H-M 'P 1'
_symmetry_Int_Tables_number 1
loop_
_symmetry_equiv_pos_as_xyz
'x,y,z'
loop_
_atom_site_label
_atom_site_type_symbol
_atom_site_fract_x
_atom_site_fract_y
_atom_site_fract_z
Ba1 Ba 0.205 0.205 0.000
Ba2 Ba 0.245 0.000 0.245
Ba3 Ba 0.755 0.000 0.755
Ba4 Ba 0.795 0.795 0.000
Sb1 Sb 0.077 0.577 0.500
Sb2 Sb 0.144 0.804 0.340
Sb3 Sb 0.424 0.424 0.000
Sb4 Sb 0.464 0.804 0.660
Sb5 Sb 0.536 0.196 0.340
Sb6 Sb 0.576 0.576 0.000
Sb7 Sb 0.856 0.196 0.660
Sb8 Sb 0.923 0.423 0.500
Au1 Au 0.092 0.347 0.745
Au2 Au 0.398 0.653 0.745
Au3 Au 0.602 0.347 0.255
Au4 Au 0.908 0.653 0.255
# **VASP energy**: -63.1 eV for the cell shown
# **Calculated volume**: 489.7 Å³ per cell
# **Total magnetic moment**: 0.00 μB per formula unit

***

Record 6
# GGA-PBE KOsBr6, optimized geometry
data_KOsBr6
_cell_length_a 7.055
_cell_length_b 7.055
_cell_length_c 11.490
_cell_angle_alpha 92.23
_cell_angle_beta 92.23
_cell_angle_gamma 84.86
_symmetry_space_group_name_H-M 'P 1'
_symmetry_Int_Tables_number 1
loop_
_symmetry_equiv_pos_as_xyz
'x,y,z'
loop_
_atom_site_label
_atom_site_type_symbol
_atom_site_fract_x
_atom_site_fract_y
_atom_site_fract_z
K1 K 0.022 0.978 0.750
K2 K 0.978 0.022 0.250
Os1 Os 0.000 0.500 0.500
Os2 Os 0.500 0.000 0.000
Br1 Br 0.083 0.526 0.293
Br2 Br 0.186 0.195 0.006
Br3 Br 0.195 0.186 0.506
Br4 Br 0.285 0.662 0.564
Br5 Br 0.338 0.715 0.936
Br6 Br 0.474 0.917 0.207
Br7 Br 0.526 0.083 0.793
Br8 Br 0.662 0.285 0.064
Br9 Br 0.715 0.338 0.436
Br10 Br 0.805 0.814 0.494
Br11 Br 0.814 0.805 0.994
Br12 Br 0.917 0.474 0.707
# **ΔE to the lowest computed polymorph**: 0 meV per atom
# **Calculated volume**: 568.7 Å³ per cell
# **Total magnetic moment**: 2.94 μB per formula unit

***

Record 7
# GGA-PBE Ca3SmSe4, optimized geometry
data_Ca3SmSe4
_cell_length_a 7.275
_cell_length_b 7.275
_cell_length_c 4.184
_cell_angle_alpha 90.00
_cell_angle_beta 90.00
_cell_angle_gamma 109.37
_symmetry_space_group_name_H-M 'P 1'
_symmetry_Int_Tables_number 1
loop_
_symmetry_equiv_pos_as_xyz
'x,y,z'
loop_
_atom_site_label
_atom_site_type_symbol
_atom_site_fract_x
_atom_site_fract_y
_atom_site_fract_z
Ca1 Ca 0.000 0.000 0.000
Ca2 Ca 0.000 0.500 0.500
Ca3 Ca 0.500 0.000 0.500
Sm1 Sm 0.500 0.500 0.000
Se1 Se 0.250 0.250 0.500
Se2 Se 0.251 0.749 0.000
Se3 Se 0.749 0.251 0.000
Se4 Se 0.750 0.750 0.500
# **VASP energy**: -40.3 eV for the cell shown
# **Calculated volume**: 208.9 Å³ per cell
# **Total magnetic moment**: 0.00 μB per formula unit

***

Record 8
# GGA-PBE CaRe2O8, optimized geometry
data_CaRe2O8
_cell_length_a 5.731
_cell_length_b 5.731
_cell_length_c 3.841
_cell_angle_alpha 90.00
_cell_angle_beta 90.00
_cell_angle_gamma 114.40
_symmetry_space_group_name_H-M 'P 1'
_symmetry_Int_Tables_number 1
loop_
_symmetry_equiv_pos_as_xyz
'x,y,z'
loop_
_atom_site_label
_atom_site_type_symbol
_atom_site_fract_x
_atom_site_fract_y
_atom_site_fract_z
Ca1 Ca 0.000 0.000 0.000
Re1 Re 0.313 0.687 0.500
Re2 Re 0.687 0.313 0.500
O1 O 0.046 0.325 0.500
O2 O 0.267 0.733 0.000
O3 O 0.325 0.046 0.500
O4 O 0.500 0.500 0.248
O5 O 0.500 0.500 0.752
O6 O 0.675 0.954 0.500
O7 O 0.733 0.267 0.000
O8 O 0.954 0.675 0.500
# **VASP energy**: -83.1 eV for the cell shown
# **Calculated volume**: 114.9 Å³ per cell
# **Total magnetic moment**: 0.00 μB per formula unit

***

Record 9
# GGA-PBE PmDy2HoTe6, optimized geometry
data_PmDy2HoTe6
_cell_length_a 8.347
_cell_length_b 8.347
_cell_length_c 8.347
_cell_angle_alpha 55.22
_cell_angle_beta 55.22
_cell_angle_gamma 55.22
_symmetry_space_group_name_H-M 'P 1'
_symmetry_Int_Tables_number 1
loop_
_symmetry_equiv_pos_as_xyz
'x,y,z'
loop_
_atom_site_label
_atom_site_type_symbol
_atom_site_fract_x
_atom_site_fract_y
_atom_site_fract_z
Pm1 Pm 0.000 0.000 0.000
Dy1 Dy 0.187 0.187 0.187
Dy2 Dy 0.689 0.689 0.689
Ho1 Ho 0.502 0.502 0.502
Te1 Te 0.095 0.414 0.781
Te2 Te 0.291 0.909 0.585
Te3 Te 0.414 0.781 0.095
Te4 Te 0.585 0.291 0.909
Te5 Te 0.781 0.095 0.414
Te6 Te 0.909 0.585 0.291
# **VASP energy**: -51.0 eV for the cell shown
# **Calculated volume**: 365.6 Å³ per cell
# **Total magnetic moment**: 0.00 μB per formula unit